Entry 1:
VASP calculation (PBE) on VAgAu2Se after structural relaxation.

Geometry as POSCAR:
```
VAgAu2Se
1.0
-2.4823 2.5503 3.6003
2.3684 -2.5666 3.4510
3.6746 3.4814 0.0674
Au Se V Ag
2 1 1 1
Direct
0.0000 0.0000 0.5000 Au
0.5000 0.0000 0.0000 Au
0.0000 0.5000 0.0000 Se
0.5000 0.5000 0.5000 V
0.0000 0.0000 0.0000 Ag
```

Calculated values
uncorrected formation energy = 1.19 eV/atom
size of the total moment = 0.1 μB/f.u.
mass density = 8337 kg/m3
volume = 25.165 A^3/atom
E above lowest polymorph = 0.126 eV per atom



Entry 2:
VASP calculation (PBE) on VAgAu2Se after structural relaxation.

Geometry as POSCAR:
```
VAgAu2Se
1.0
4.8897 0.0000 0.0000
0.0000 5.1197 0.0000
0.0000 0.0000 4.8897
Ag V Au Se
1 1 2 1
Direct
0.0000 0.5000 0.0000 Ag
0.0000 0.0000 0.0000 V
0.0000 0.0000 0.5000 Au
0.5000 0.0000 0.0000 Au
0.5000 0.5000 0.5000 Se
```

Calculated values
uncorrected formation energy = 1.07 eV/atom
size of the total moment = 2.9 μB/f.u.
mass density = 8570 kg/m3
volume = 24.481 A^3/atom
E above lowest polymorph = 0.000 eV per atom



Entry 3:
VASP calculation (PBE) on Zr2AgAuSe after structural relaxation.

Geometry as POSCAR:
```
Zr2AgAuSe
1.0
-3.3930 3.4290 1.8281
-3.5122 -1.9497 -2.8617
-1.2669 -3.2705 3.7831
Zr Se Au Ag
2 1 1 1
Direct
0.5000 0.0000 0.0000 Zr
0.0000 0.0000 0.5000 Zr
0.5000 0.5000 0.5000 Se
0.0000 0.5000 0.0000 Au
0.0000 0.0000 0.0000 Ag
```

Calculated values
uncorrected formation energy = 0.67 eV/atom
size of the total moment = 0.0 μB/f.u.
mass density = 7163 kg/m3
volume = 26.252 A^3/atom



Entry 4:
VASP calculation (PBE) on SiAgAu2 after structural relaxation.

Geometry as POSCAR:
```
SiAgAu2
1.0
3.2973 -0.0226 0.0000
0.0211 3.2973 0.0000
0.0000 0.0000 6.4011
Au Si Ag
2 1 1
Direct
0.0000 0.0000 0.4793 Au
0.0000 0.0000 0.0207 Au
0.5000 0.5000 0.2500 Si
0.5000 0.5000 0.7500 Ag
```

Calculated values
uncorrected formation energy = 0.10 eV/atom
size of the total moment = 0.0 μB/f.u.
mass density = 12643 kg/m3
volume = 17.399 A^3/atom



Entry 5:
VASP calculation (PBE) on Si5Ag3Au12 after structural relaxation.

Geometry as POSCAR:
```
Si5Ag3Au12
1.0
13.0480 0.0000 0.0000
-4.3493 12.3018 0.0000
-4.3493 -6.1509 10.6536
Au Ag Si
48 12 20
Direct
0.5813 0.6271 0.4116 Au
0.8729 0.2844 0.4541 Au
0.4116 0.1271 0.5813 Au
0.5459 0.3303 0.9187 Au
0.9187 0.0884 0.8729 Au
0.9116 0.8303 0.7844 Au
0.4187 0.3729 0.5884 Au
0.4541 0.6697 0.0813 Au
0.8303 0.9187 0.0459 Au
0.6697 0.2156 0.5884 Au
0.3303 0.5459 0.4187 Au
0.7156 0.1271 0.0459 Au
0.1271 0.7156 0.5459 Au
0.3729 0.4187 0.0884 Au
0.2156 0.5459 0.6271 Au
0.2844 0.8729 0.9541 Au
0.1697 0.0884 0.7156 Au
0.5884 0.8729 0.4187 Au
0.0813 0.1697 0.4541 Au
0.9541 0.3729 0.2844 Au
0.1271 0.4116 0.0813 Au
0.8729 0.5884 0.9187 Au
0.2156 0.6697 0.0884 Au
0.6271 0.5813 0.9116 Au
0.4116 0.2844 0.3303 Au
0.7156 0.5884 0.1697 Au
0.0813 0.9116 0.1271 Au
0.9187 0.8303 0.5459 Au
0.8303 0.9116 0.2844 Au
0.5884 0.7156 0.6697 Au
0.7844 0.3303 0.9116 Au
0.6271 0.0459 0.2156 Au
0.7844 0.4541 0.3729 Au
0.4187 0.0459 0.3303 Au
0.1697 0.0813 0.9541 Au
0.4541 0.7844 0.8729 Au
0.2844 0.4116 0.8303 Au
0.5459 0.2156 0.1271 Au
0.0884 0.9187 0.3729 Au
0.3729 0.9541 0.7844 Au
0.3303 0.7844 0.4116 Au
0.0459 0.6271 0.7156 Au
0.0884 0.1697 0.2156 Au
0.5813 0.9541 0.6697 Au
0.9116 0.0813 0.6271 Au
0.6697 0.4541 0.5813 Au
0.0459 0.4187 0.8303 Au
0.9541 0.5813 0.1697 Au
0.2500 0.1250 0.3750 Ag
0.8750 0.7500 0.1250 Ag
0.3750 0.6250 0.2500 Ag
0.7500 0.3750 0.1250 Ag
0.3750 0.7500 0.6250 Ag
0.6250 0.3750 0.7500 Ag
0.1250 0.8750 0.7500 Ag
0.2500 0.6250 0.8750 Ag
0.7500 0.8750 0.6250 Ag
0.6250 0.2500 0.3750 Ag
0.8750 0.1250 0.2500 Ag
0.1250 0.2500 0.8750 Ag
0.5000 0.5000 0.5000 Si
0.8750 0.6250 0.7500 Si
0.3750 0.2500 0.1250 Si
0.3750 0.1250 0.7500 Si
0.0000 0.0000 0.0000 Si
0.2500 0.8750 0.1250 Si
0.0000 0.0000 0.5000 Si
0.6250 0.7500 0.8750 Si
0.1250 0.7500 0.3750 Si
0.5000 0.0000 0.5000 Si
0.0000 0.5000 0.0000 Si
0.1250 0.3750 0.2500 Si
0.7500 0.6250 0.3750 Si
0.6250 0.8750 0.2500 Si
0.7500 0.1250 0.8750 Si
0.5000 0.5000 0.0000 Si
0.2500 0.3750 0.6250 Si
0.5000 0.0000 0.0000 Si
0.8750 0.2500 0.6250 Si
0.0000 0.5000 0.5000 Si
```

Calculated values
uncorrected formation energy = 0.14 eV/atom
size of the total moment = 0.0 μB/f.u.
mass density = 10983 kg/m3
volume = 21.376 A^3/atom



Entry 6:
VASP calculation (PBE) on Si2AgAu after structural relaxation.

Geometry as POSCAR:
```
Si2AgAu
1.0
8.0828 0.0641 0.0380
7.4511 3.1333 0.0380
7.4511 1.5337 2.7326
Si Au Ag
2 1 1
Direct
0.9979 0.9979 0.9979 Si
0.2549 0.2549 0.2549 Si
0.7410 0.7410 0.7410 Au
0.5063 0.5063 0.5063 Ag
```

Calculated values
uncorrected formation energy = 0.18 eV/atom
size of the total moment = 0.0 μB/f.u.
mass density = 8948 kg/m3
volume = 16.749 A^3/atom
E above lowest polymorph = 0.028 eV per atom